Here is a relaxed structure of Ti2Nb2Cd from Alexandria. Energies are from PBE-GGA.

Computed properties:
- Energy relative to the lowest polymorph listed for this composition: 0 meV per atom
- Space group: C2/m (12)
- Uncorrected energy: -7.326 eV per atom
- Total magnetization: 0.0 μB/cell
- Density: 7.10 g/cm3
- Energy of formation from the pure elements: 0.043 eV/atom

Lattice parameters (Å, degrees): 4.5309 5.7973 7.7923 108.99 106.90 90.00
Closest atoms and distances in Å follow each position.
Element x y z (fractional)
Ti1 0.3933 0.3836 0.7865  3 Nb 2.82-2.86, 3 Ti 2.90-3.01, 4 Cd 3.02-3.14
Ti2 0.3933 0.8836 0.7865  3 Nb 2.82-2.86, 3 Ti 2.90-3.01, 4 Cd 3.02-3.14
Ti3 0.6067 0.6164 0.2135  3 Nb 2.82-2.86, 3 Ti 2.90-3.01, 4 Cd 3.02-3.14
Ti4 0.6067 0.1164 0.2135  3 Nb 2.82-2.86, 3 Ti 2.90-3.01, 4 Cd 3.02-3.14
Nb1 0.2083 0.0321 0.4165  4 Nb 2.67-2.90, 3 Ti 2.82-2.86, 1 Cd 2.98
Nb2 0.7917 0.4679 0.5835  4 Nb 2.67-2.90, 3 Ti 2.82-2.86, 1 Cd 2.98
Nb3 0.7917 0.9679 0.5835  4 Nb 2.67-2.90, 3 Ti 2.82-2.86, 1 Cd 2.98
Nb4 0.2083 0.5321 0.4165  4 Nb 2.67-2.90, 3 Ti 2.82-2.86, 1 Cd 2.98
Cd1 0.0000 0.7500 0.0000  2 Cd 2.90, 2 Nb 2.98, 8 Ti 3.02-3.14
Cd2 0.0000 0.2500 0.0000  2 Cd 2.90, 2 Nb 2.98, 8 Ti 3.02-3.14

=====

Here is a relaxed structure of MnReGe from Alexandria. Energies are from PBE-GGA.

Computed properties:
- Energy relative to the lowest polymorph listed for this composition: 67 meV per atom
- Space group: I4mm (107)
- Uncorrected energy: -8.657 eV per atom
- Total magnetization: 0.0 μB/cell
- Density: 13.21 g/cm3
- Energy of formation from the pure elements: 0.088 eV/atom

Lattice parameters (Å, degrees): 2.8912 2.8912 5.1415 106.33 106.33 90.00
Closest atoms and distances in Å follow each position.
Element x y z (fractional)
Re1 0.0041 0.0041 0.0083  4 Mn 2.60, 4 Ge 2.67, 4 Re 2.89
Ge1 0.3220 0.3220 0.6439  4 Mn 2.48, 4 Re 2.67
Mn1 0.6739 0.6739 0.3478  4 Ge 2.48, 4 Re 2.60

=====

Here is a relaxed structure of IrSI from Alexandria. Energies are from PBE-GGA.

Computed properties:
- Energy relative to the lowest polymorph listed for this composition: 149 meV per atom
- Space group: P3m1 (156)
- Energy relative to the elements, uncorrected: -0.058 eV per atom
- Uncorrected energy: -4.904 eV per atom
- Total magnetization: 0.0 μB/cell
- Density: 7.71 g/cm3

Lattice parameters (Å, degrees): 3.6841 3.6841 6.4341 90.00 90.00 120.00
Closest atoms and distances in Å follow each position.
Element x y z (fractional)
I1 0.6667 0.3333 0.7625  3 Ir 2.73
S1 0.0000 0.0000 0.2031  3 Ir 2.41
Ir1 0.3333 0.6667 0.0284  3 S 2.41

=====

Here is a relaxed structure of MgMnPS2 from Alexandria. Energies are from PBE-GGA.

Computed properties:
- Energy relative to the lowest polymorph listed for this composition: 0 meV per atom
- Space group: P4/mmm (123)
- Energy relative to the elements, uncorrected: -0.003 eV per atom
- Uncorrected energy: -4.888 eV per atom
- Total magnetization: 2.6 μB/cell
- Density: 3.04 g/cm3

Lattice parameters (Å, degrees): 4.6933 4.6933 4.3303 90.00 90.00 90.00
Closest atoms and distances in Å follow each position.
Element x y z (fractional)
P1 0.0000 0.0000 0.5000  2 Mn 2.17
S1 0.0000 0.5000 0.0000  2 Mn 2.35
S2 0.5000 0.0000 0.0000  2 Mn 2.35
Mn1 0.0000 0.0000 0.0000  2 P 2.17, 4 S 2.35
Mg1 0.5000 0.5000 0.5000  8 S 3.19, 4 P 3.32

=====

Here is a relaxed structure of KZnCd2Pd from Alexandria. Energies are from PBE-GGA.

Computed properties:
- Space group: P4/mmm (123)
- Uncorrected energy: -2.054 eV per atom
- Total magnetization: 0.0 μB/cell
- Density: 5.18 g/cm3
- Energy of formation from the pure elements: -0.175 eV/atom

Lattice parameters (Å, degrees): 5.2999 5.2999 4.9723 90.00 90.00 90.00
Closest atoms and distances in Å follow each position.
Element x y z (fractional)
Zn1 0.0000 0.0000 0.5000  2 Pd 2.49
K1 0.5000 0.5000 0.5000  8 Cd 3.63, 4 Zn 3.75
Pd1 0.0000 0.0000 0.0000  2 Zn 2.49, 4 Cd 2.65
Cd1 0.0000 0.5000 0.0000  2 Pd 2.65
Cd2 0.5000 0.0000 0.0000  2 Pd 2.65

=====

Here is a relaxed structure of LiCa2Ni3H12 from Alexandria. Energies are from PBE-GGA.

Computed properties:
- Space group: R-3m (166)
- Uncorrected energy: -3.771 eV per atom
- Total magnetization: 0.0 μB/cell
- Density: 3.15 g/cm3

Lattice parameters (Å, degrees): 5.7453 5.7453 5.7453 63.68 63.68 63.68
Closest atoms and distances in Å follow each position.
Element x y z (fractional)
Li1 0.0000 0.0000 0.0000  6 H 1.91
Ca1 0.6206 0.6206 0.6206  3 H 2.21
Ca2 0.3794 0.3794 0.3794  3 H 2.21
Ni1 0.5000 0.0000 0.0000  6 H 1.55-1.62
Ni2 0.0000 0.5000 0.0000  6 H 1.55-1.62
Ni3 0.0000 0.0000 0.5000  6 H 1.55-1.62
H1 0.3035 0.3035 0.8910  2 Ni 1.62
H2 0.8860 0.8860 0.3887  1 Ni 1.55
H3 0.3887 0.8860 0.8860  1 Ni 1.55
H4 0.8910 0.3035 0.3035  2 Ni 1.62
H5 0.8860 0.3887 0.8860  1 Ni 1.55
H6 0.3035 0.8910 0.3035  2 Ni 1.62
H7 0.6965 0.6965 0.1090  2 Ni 1.62
H8 0.1140 0.1140 0.6113  1 Ni 1.55
H9 0.6113 0.1140 0.1140  1 Ni 1.55
H10 0.1090 0.6965 0.6965  2 Ni 1.62
H11 0.1140 0.6113 0.1140  1 Ni 1.55
H12 0.6965 0.1090 0.6965  2 Ni 1.62